PuVPdO6 PBE+U relaxed; DFT total energy = -8.016 eV per atom; magnetization = 0.13 μB/atom; space-group type = P-31c, No. 163
1.0
5.310 0.000 0.000
-2.655 4.599 0.000
0.000 0.000 9.142
Pu V Pd O
2 2 2 12
direct
0.333 0.667 0.250
0.667 0.333 0.750
0.333 0.667 0.750
0.667 0.333 0.250
0.000 0.000 0.000
0.000 0.000 0.500
0.022 0.367 0.635
0.022 0.655 0.865
0.345 0.367 0.865
0.345 0.978 0.635
0.367 0.022 0.135
0.367 0.345 0.365
0.633 0.655 0.635
0.633 0.978 0.865
0.655 0.022 0.365
0.655 0.633 0.135
0.978 0.345 0.135
0.978 0.633 0.365